Below is an optimized crystal structure of K2SnWO6, with properties calculated at the GGA+U level.

extended XYZ file:
```
10
Lattice="0.000 4.046 4.046 4.046 0.000 4.046 4.046 4.046 0.000" Properties=species:S:1:pos:R:3 pbc="T T T"
K 2.023 2.023 2.023
K 6.069 6.069 6.069
Sn 0.000 0.000 0.000
W 4.046 4.046 4.046
O 4.046 4.046 2.091
O 4.046 2.091 4.046
O 6.001 4.046 4.046
O 2.091 4.046 4.046
O 4.046 6.001 4.046
O 4.046 4.046 6.001
```

Values from the calculation:
DFT total energy = -62.032 eV/cell
total magnetic moment = 0.00 μB per cell
space group = Fm-3m
DOS at the Fermi energy = 0.00 states/eV/atom

---

Below is an optimized crystal structure of KSnWO6, with properties calculated at the GGA+U level.

extended XYZ file:
```
18
Lattice="5.519 0.000 0.000 -2.760 4.780 0.000 0.000 0.000 11.648" Properties=species:S:1:pos:R:3 pbc="T T T"
K 0.000 0.000 0.000
K 0.000 0.000 5.824
Sn 0.000 3.186 2.912
Sn 2.760 1.593 8.736
W 0.000 3.186 8.736
W 2.760 1.593 2.912
O -1.025 1.946 7.624
O -1.587 2.919 9.847
O 1.025 1.946 9.847
O -0.562 4.694 7.624
O 2.198 0.085 1.801
O 1.173 1.861 4.023
O 1.587 2.919 7.624
O 0.562 4.694 9.847
O 3.321 0.085 4.023
O 1.735 2.834 1.801
O 4.347 1.861 1.801
O 3.785 2.834 4.023
```

Values from the calculation:
DFT total energy = -113.181 eV/cell
total magnetic moment = 2.09 μB per cell
space group = P-31c
DOS at the Fermi energy = 0.78 states/eV/atom

---

Below is an optimized crystal structure of KYSnWO6, with properties calculated at the GGA+U level.

extended XYZ file:
```
10
Lattice="0.000 4.193 4.193 4.193 0.000 4.193 4.193 4.193 0.000" Properties=species:S:1:pos:R:3 pbc="T T T"
K 0.000 0.000 0.000
Y 2.097 2.097 2.097
Sn 4.193 4.193 4.193
W 6.290 6.290 6.290
O 6.290 6.290 4.338
O 6.290 4.338 6.290
O 8.241 6.290 6.290
O 4.338 6.290 6.290
O 6.290 8.241 6.290
O 6.290 6.290 8.241
```

Values from the calculation:
DFT total energy = -70.409 eV/cell
total magnetic moment = 0.00 μB per cell
space group = F-43m
DOS at the Fermi energy = 0.00 states/eV/atom

---

Among the records above, which one has the highest DFT total energy? K2SnWO6

---

Repeat the third record exactly.
Below is an optimized crystal structure of KYSnWO6, with properties calculated at the GGA+U level.

extended XYZ file:
```
10
Lattice="0.000 4.193 4.193 4.193 0.000 4.193 4.193 4.193 0.000" Properties=species:S:1:pos:R:3 pbc="T T T"
K 0.000 0.000 0.000
Y 2.097 2.097 2.097
Sn 4.193 4.193 4.193
W 6.290 6.290 6.290
O 6.290 6.290 4.338
O 6.290 4.338 6.290
O 8.241 6.290 6.290
O 4.338 6.290 6.290
O 6.290 8.241 6.290
O 6.290 6.290 8.241
```

Values from the calculation:
DFT total energy = -70.409 eV/cell
total magnetic moment = 0.00 μB per cell
space group = F-43m
DOS at the Fermi energy = 0.00 states/eV/atom

---

DOS at the Fermi energy of number 2 (KSnWO6)? 0.78 states/eV/atom